Computed, not measured: a geometry-optimized InSiF2 structure at the PBE level of DFT.

total DFT energy (no corrections)	-4.08	eV per atom
DOS at the Fermi energy	4.37	states/eV per cell
raw formation energy	-4.414	eV/f.u.

Unit cell a=4.004 b=4.004 c=15.671 alpha=90.00 beta=90.00 gamma=90.00
Space group I-42d (No. 122)
Asymmetric unit:
In1 0.000 0.000 0.000
Si1 0.000 0.000 0.500
F1 0.219 0.250 0.625


Computed, not measured: a geometry-optimized In2SiF6 structure at the PBE level of DFT.

total DFT energy (no corrections)	-5.00	eV per atom
DOS at the Fermi energy	0.00	states/eV per cell
raw formation energy	-22.850	eV/f.u.

Unit cell a=5.7723 b=5.7723 c=5.1356 alpha=90.00 beta=90.00 gamma=120.00
Space group P-3m1 (No. 164)
Asymmetric unit:
In1 0.3333 0.6667 0.2922
Si1 0.0000 0.0000 0.0000
F1 0.1416 0.2833 0.8085


Computed, not measured: a geometry-optimized InSiF3 structure at the PBE level of DFT.

total DFT energy (no corrections)	-4.44	eV per atom
DOS at the Fermi energy	0.00	states/eV per cell
raw formation energy	-8.402	eV/f.u.

Unit cell a=4.373 b=4.373 c=4.373 alpha=90.00 beta=90.00 gamma=90.00
Space group Pm-3m (No. 221)
Asymmetric unit:
In1 0.000 0.000 0.000
Si1 0.500 0.500 0.500
F1 0.000 0.500 0.500


Computed, not measured: a geometry-optimized In2SiSnF structure at the PBE level of DFT.

total DFT energy (no corrections)	-3.53	eV per atom
DOS at the Fermi energy	2.21	states/eV per cell
raw formation energy	-0.898	eV/f.u.

Unit cell a=5.299 b=5.299 c=4.213 alpha=90.00 beta=90.00 gamma=90.00
Space group P4/mmm (No. 123)
Asymmetric unit:
In1 0.000 0.500 0.000
Si1 0.000 0.000 0.500
Sn1 0.500 0.500 0.500
F1 0.000 0.000 0.000


Computed, not measured: a geometry-optimized In2SiSnF structure at the PBE level of DFT.

total DFT energy (no corrections)	-3.29	eV per atom
DOS at the Fermi energy	4.36	states/eV per cell
raw formation energy	0.341	eV/f.u.

Unit cell a=5.380 b=5.380 c=5.197 alpha=90.00 beta=90.00 gamma=90.00
Space group P4/mmm (No. 123)
Asymmetric unit:
In1 0.000 0.500 0.000
Si1 0.000 0.000 0.000
Sn1 0.000 0.000 0.500
F1 0.500 0.500 0.500


Computed, not measured: a geometry-optimized TlIn2SiF8 structure at the PBE level of DFT.

total DFT energy (no corrections)	-4.78	eV per atom
DOS at the Fermi energy	3.17	states/eV per cell
raw formation energy	-29.112	eV/f.u.

Unit cell a=5.470 b=5.652 c=6.943 alpha=98.41 beta=96.27 gamma=91.84
Space group P-1 (No. 2)
Asymmetric unit:
Tl1 0.000 0.000 0.000
In1 0.494 0.525 0.273
Si1 0.000 0.000 0.500
F1 0.017 0.756 0.616
F2 0.215 0.157 0.686
F3 0.236 0.903 0.370
F4 0.317 0.629 0.993


Computed, not measured: a geometry-optimized TlInSiF6 structure at the PBE level of DFT.

total DFT energy (no corrections)	-5.01	eV per atom
DOS at the Fermi energy	0.00	states/eV per cell
raw formation energy	-23.340	eV/f.u.

Unit cell a=5.068 b=5.825 c=5.836 alpha=60.11 beta=89.75 gamma=89.91
Space group P1 (No. 1)
Asymmetric unit:
Tl1 0.000 0.000 0.000
In1 0.573 0.666 0.667
Si1 0.341 0.333 0.334
F1 0.146 0.474 0.473
F2 0.147 0.052 0.473
F3 0.151 0.474 0.052
F4 0.532 0.192 0.616
F5 0.536 0.613 0.196
F6 0.537 0.192 0.195


Computed, not measured: a geometry-optimized SmIn2F11 structure at the PBE level of DFT.

total DFT energy (no corrections)	-4.70	eV per atom
DOS at the Fermi energy	51.11	states/eV per cell
raw formation energy	-35.062	eV/f.u.

Unit cell a=8.104 b=10.194 c=11.089 alpha=90.00 beta=90.00 gamma=90.00
Space group Ibam (No. 72)
Asymmetric unit:
Sm1 0.000 0.000 0.250
In1 0.164 0.308 0.000
F1 0.000 0.500 0.000
F2 0.105 0.307 0.500
F3 0.106 0.175 0.139
F4 0.218 0.078 0.369


- The highest total DFT energy (no corrections) belongs to which entry?
  number 5


- Among the records above, which one has the highest total DFT energy (no corrections)?
  number 5